A geometry-optimized Li2LaSbSe4 structure. Source: the Alexandria database, functional PBE-GGA.

Lattice parameters (Å, degrees): 8.265 8.265 8.265 120.89 118.78 90.30
Fractional coordinates of all 16 atoms:
Li: 0.000 0.000 0.000
Li: 0.500 0.000 0.000
Li: 0.500 0.000 0.500
Li: 0.500 0.500 0.500
La: 0.000 0.500 0.500
La: 0.500 0.500 0.000
Sb: 0.000 0.000 0.500
Sb: 0.000 0.500 0.000
Se: 0.241 0.242 0.998
Se: 0.249 0.239 0.489
Se: 0.249 0.760 0.011
Se: 0.256 0.758 0.498
Se: 0.744 0.242 0.502
Se: 0.751 0.240 0.989
Se: 0.751 0.761 0.511
Se: 0.759 0.758 0.002

Summary:
Total energy = -72.36 eV/cell
Formation energy without anion corrections = -1170 meV per atom

=====

A geometry-optimized LiLaSbSe2 structure. Source: the Alexandria database, functional PBE-GGA.

Lattice parameters (Å, degrees): 4.753 4.753 5.363 90.00 90.00 90.00
Fractional coordinates of all 5 atoms:
Li: 0.000 0.000 0.000
La: 0.000 0.000 0.500
Sb: 0.500 0.500 0.500
Se: 0.000 0.500 0.000
Se: 0.500 0.000 0.000

Summary:
Total energy = -20.36 eV/cell
DOS(E_F) = 2.6 states/eV/cell
Formation energy without anion corrections = -485 meV per atom

=====

A geometry-optimized LiLaSb2Se structure. Source: the Alexandria database, functional PBE-GGA.

Lattice parameters (Å, degrees): 6.116 6.116 5.720 90.00 90.00 90.00
Fractional coordinates of all 5 atoms:
Li: 0.000 0.000 0.000
La: 0.500 0.500 0.500
Sb: 0.000 0.500 0.500
Sb: 0.500 0.000 0.500
Se: 0.500 0.500 0.000

Summary:
Total energy = -18.60 eV/cell
DOS(E_F) = 5.9 states/eV/cell
Formation energy without anion corrections = -6 meV per atom

=====

A geometry-optimized Li2La2SmSb2 structure. Source: the Alexandria database, functional PBE-GGA.

Lattice parameters (Å, degrees): 9.788 9.788 9.788 28.26 28.26 28.26
Fractional coordinates of all 7 atoms:
Li: 0.098 0.098 0.098
Li: 0.902 0.902 0.902
La: 0.369 0.369 0.369
La: 0.631 0.631 0.631
Sm: 0.500 0.500 0.500
Sb: 0.232 0.232 0.232
Sb: 0.768 0.768 0.768

Summary:
Total energy = -31.08 eV/cell
DOS(E_F) = 6.0 states/eV/cell
Formation energy without anion corrections = -633 meV per atom

=====

A geometry-optimized SrLi2LaSb2 structure. Source: the Alexandria database, functional PBE-GGA.

Lattice parameters (Å, degrees): 4.736 4.736 8.395 90.00 90.00 120.00
Fractional coordinates of all 6 atoms:
Sr: 0.000 0.000 0.000
Li: 0.333 0.667 0.742
Li: 0.667 0.333 0.258
La: 0.000 0.000 0.500
Sb: 0.333 0.667 0.259
Sb: 0.667 0.333 0.741

Summary:
Total energy = -24.21 eV/cell
DOS(E_F) = 3.0 states/eV/cell
Formation energy without anion corrections = -921 meV per atom

=====

A geometry-optimized SrLi2La2Sb2 structure. Source: the Alexandria database, functional PBE-GGA.

Lattice parameters (Å, degrees): 10.189 10.189 10.189 27.59 27.59 27.59
Fractional coordinates of all 7 atoms:
Sr: 0.000 0.000 0.000
Li: 0.413 0.413 0.413
Li: 0.587 0.587 0.587
La: 0.134 0.134 0.134
La: 0.866 0.866 0.866
Sb: 0.260 0.260 0.260
Sb: 0.740 0.740 0.740

Summary:
Total energy = -28.16 eV/cell
DOS(E_F) = 7.3 states/eV/cell
Formation energy without anion corrections = -651 meV per atom

=====

Number 1: magnetic moment 0.0 μB/cell. Number 2: magnetic moment 0.0 μB/cell. Number 3: magnetic moment 0.0 μB/cell. Number 4: magnetic moment 0.0 μB/cell. Number 5: magnetic moment 0.0 μB/cell. Number 6: magnetic moment 0.0 μB/cell.